Entry 1:
Density functional theory data (GGA-PBE) for a relaxed La3Ce2DySb6 crystal.

a b c (Å): 7.869 13.630 7.883
angles (deg): 90.00 109.44 90.00
Space group C2/m (No. 12)
Unique sites:
La: 0.000 0.000 0.000 x2
La: 0.000 0.332 0.000 x4
Ce: 0.000 0.166 0.500 x4
Dy: 0.000 0.500 0.500 x2
Sb: 0.245 0.335 0.740 x8
Sb: 0.250 0.000 0.741 x4

Values from the calculation:
For the size of the total moment, the calculation gives 3.0 μB/cell. For the uncorrected formation energy, the calculation gives -1.174 eV per atom.

***

Entry 2:
Density functional theory data (GGA-PBE) for a relaxed Al2InSe crystal.

a b c (Å): 6.197 6.197 11.782
angles (deg): 90.00 90.00 90.00
Space group I-42d (No. 122)
Unique sites:
Al: 0.231 0.250 0.125 x8
In: 0.000 0.000 0.500 x4
Se: 0.000 0.000 0.000 x4

Values from the calculation:
For the relative energy among the computed polymorphs, the calculation gives 88 meV per atom. For the size of the total moment, the calculation gives 0.0 μB/cell. For the uncorrected formation energy, the calculation gives -0.012 eV per atom.

***

Entry 3:
Density functional theory data (GGA-PBE) for a relaxed LiCdAu crystal.

a b c (Å): 6.455 6.455 6.455
angles (deg): 90.00 90.00 90.00
Space group F-43m (No. 216)
Unique sites:
Li: 0.000 0.000 0.000 x4
Cd: 0.000 0.000 0.500 x4
Au: 0.250 0.250 0.250 x4

Values from the calculation:
For the relative energy among the computed polymorphs, the calculation gives 95 meV per atom. Its energy of formation from the pure elements is -0.287 eV per atom. For the size of the total moment, the calculation gives 0.0 μB/cell.

***

Entry 4:
Density functional theory data (GGA-PBE) for a relaxed Ba2SrPmS4 crystal.

a b c (Å): 7.478 4.303 7.592
angles (deg): 90.00 109.04 90.00
Space group P2/m (No. 10)
Unique sites:
Ba: 0.000 0.000 0.000 x1
Ba: 0.500 0.500 0.000 x1
Sr: 0.000 0.500 0.500 x1
Pm: 0.500 0.000 0.500 x1
S: 0.252 0.000 0.725 x2
S: 0.268 0.500 0.279 x2

Values from the calculation:
For the size of the total moment, the calculation gives 0.0 μB/cell. For the uncorrected formation energy, the calculation gives -2.052 eV per atom.

***

Entry 5:
Density functional theory data (GGA-PBE) for a relaxed VZnCu2Br crystal.

a b c (Å): 4.754 4.754 5.137
angles (deg): 90.00 90.00 90.00
Space group P4/mmm (No. 123)
Unique sites:
V: 0.000 0.000 0.000 x1
Zn: 0.000 0.000 0.500 x1
Cu: 0.000 0.500 0.000 x2
Br: 0.500 0.500 0.500 x1

Values from the calculation:
For the size of the total moment, the calculation gives 2.7 μB/cell. For the uncorrected formation energy, the calculation gives 1.095 eV per atom.

***

Entry 6:
Density functional theory data (GGA-PBE) for a relaxed MgNbCu crystal.

a b c (Å): 11.195 2.740 7.856
angles (deg): 90.00 123.77 90.00
Space group Cm (No. 8)
Unique sites:
Mg: 0.000 0.000 0.000 x2
Mg: 0.245 0.000 0.604 x2
Nb: 0.032 0.500 0.675 x2
Nb: 0.298 0.500 0.298 x2
Cu: 0.022 0.500 0.308 x2
Cu: 0.269 0.000 0.973 x2

Values from the calculation:
For the relative energy among the computed polymorphs, the calculation gives 110 meV per atom. Its energy of formation from the pure elements is 0.153 eV per atom. For the size of the total moment, the calculation gives 0.0 μB/cell.

***

Entry 7:
Density functional theory data (GGA-PBE) for a relaxed Ba2BeSi crystal.

a b c (Å): 7.995 7.995 7.995
angles (deg): 90.00 90.00 90.00
Space group Fm-3m (No. 225)
Unique sites:
Ba: 0.250 0.250 0.250 x8
Be: 0.000 0.000 0.000 x4
Si: 0.000 0.000 0.500 x4

Values from the calculation:
For the relative energy among the computed polymorphs, the calculation gives 373 meV per atom. For the size of the total moment, the calculation gives 0.0 μB/cell. For the uncorrected formation energy, the calculation gives 0.219 eV per atom.

***

Entry 8:
Density functional theory data (GGA-PBE) for a relaxed Tb2YSc3 crystal.

a b c (Å): 6.3185 6.3185 10.3018
angles (deg): 90.00 90.00 120.00
Space group P-3m1 (No. 164)
Unique sites:
Tb: 0.0000 0.0000 0.0000 x1
Tb: 0.0000 0.0000 0.5000 x1
Tb: 0.3333 0.6667 0.0632 x2
Y: 0.3333 0.6667 0.4366 x2
Sc: 0.1713 0.3426 0.7499 x6

Values from the calculation:
For the relative energy among the computed polymorphs, the calculation gives 169 meV per atom. Its energy of formation from the pure elements is 0.231 eV per atom. For the size of the total moment, the calculation gives 3.6 μB/cell.